<P>
Ta3NbN: relaxed, PBE.

Results
Its crystal system is cubic.

abc: 4.2987 4.2987 4.2987
angles: 90.00 90.00 90.00
Closest atoms and distances in Å follow each position.
Atoms (fractional coordinates):
Ta  0.0000  0.0000  0.5000  2 N 2.15
Ta  0.0000  0.5000  0.0000  2 N 2.15
Ta  0.5000  0.0000  0.0000  2 N 2.15
Nb  0.5000  0.5000  0.5000  12 Ta 3.04
N  0.0000  0.0000  0.0000  6 Ta 2.15

<Q>
Ta3NbN: relaxed, PBE.

Results
Its crystal system is cubic.

abc: 4.8552 4.8552 4.8552
angles: 90.00 90.00 90.00
Closest atoms and distances in Å follow each position.
Atoms (fractional coordinates):
Ta  0.0000  0.0000  0.5000  2 Nb 2.43
Ta  0.0000  0.5000  0.0000  2 Nb 2.43
Ta  0.5000  0.0000  0.0000  2 Nb 2.43
Nb  0.0000  0.0000  0.0000  6 Ta 2.43
N  0.5000  0.5000  0.5000  12 Ta 3.43

Most favorable structure: <P>. The second most favorable one is 3.162 eV/atom above it.

<P>
TaNb3N: relaxed, PBE.

Results
Its crystal system is monoclinic.

abc: 3.0089 4.6168 5.8581
angles: 90.00 102.92 90.00
Closest atoms and distances in Å follow each position.
Atoms (fractional coordinates):
Ta  0.0000  0.0000  0.0000  6 Nb 2.82-2.93, 2 Ta 3.01
Nb  0.0000  0.0000  0.5000  2 N 2.31
Nb  0.4001  0.5000  0.2360  2 N 2.10-2.16
Nb  0.5999  0.5000  0.7640  2 N 2.10-2.16
N  0.0000  0.5000  0.5000  6 Nb 2.10-2.31

<Q>
TaNb3N: relaxed, PBE.

Results
Its crystal system is cubic.

abc: 4.8752 4.8752 4.8752
angles: 90.00 90.00 90.00
Closest atoms and distances in Å follow each position.
Atoms (fractional coordinates):
Ta  0.0000  0.0000  0.0000  6 Nb 2.44
Nb  0.0000  0.0000  0.5000  2 Ta 2.44
Nb  0.0000  0.5000  0.0000  2 Ta 2.44
Nb  0.5000  0.0000  0.0000  2 Ta 2.44
N  0.5000  0.5000  0.5000  12 Nb 3.45

Most favorable structure: <P>. The second most favorable one is 3.040 eV/atom above it.

<P>
Ta2NbTcN: relaxed, PBE.

Results
Its crystal system is tetragonal.

abc: 4.9128 4.9128 4.5753
angles: 90.00 90.00 90.00
Closest atoms and distances in Å follow each position.
Atoms (fractional coordinates):
Ta  0.0000  0.5000  0.0000  2 Nb 2.46
Ta  0.5000  0.0000  0.0000  2 Nb 2.46
Nb  0.0000  0.0000  0.0000  2 Tc 2.29, 4 Ta 2.46
Tc  0.0000  0.0000  0.5000  2 Nb 2.29
N  0.5000  0.5000  0.5000  8 Ta 3.36, 4 Tc 3.47

<Q>
Ta2NbTcN: relaxed, PBE.

Results
Its crystal system is tetragonal.

abc: 4.2221 4.2221 4.2662
angles: 90.00 90.00 90.00
Closest atoms and distances in Å follow each position.
Atoms (fractional coordinates):
Ta  0.0000  0.5000  0.0000  2 N 2.11
Ta  0.5000  0.0000  0.0000  2 N 2.11
Nb  0.0000  0.0000  0.5000  2 N 2.13
Tc  0.5000  0.5000  0.5000  4 Nb 2.99, 8 Ta 3.00
N  0.0000  0.0000  0.0000  4 Ta 2.11, 2 Nb 2.13

Most favorable structure: <Q>. The second most favorable one is 3.169 eV/atom above it.

<P>
TaNb2ZnN: relaxed, PBE.

Results
Its crystal system is tetragonal.

abc: 4.3595 4.3595 4.0660
angles: 90.00 90.00 90.00
Closest atoms and distances in Å follow each position.
Atoms (fractional coordinates):
Ta  0.0000  0.0000  0.0000  2 N 2.03
Nb  0.0000  0.5000  0.5000  2 N 2.18
Nb  0.5000  0.0000  0.5000  2 N 2.18
Zn  0.5000  0.5000  0.0000  8 Nb 2.98, 4 Ta 3.08
N  0.0000  0.0000  0.5000  2 Ta 2.03, 4 Nb 2.18

<Q>
TaNb2ZnN: relaxed, PBE.

Results
Its crystal system is tetragonal.

abc: 4.9435 4.9435 3.5151
angles: 90.00 90.00 90.00
Closest atoms and distances in Å follow each position.
Atoms (fractional coordinates):
Ta  0.0000  0.0000  0.0000  8 Nb 3.03
Nb  0.0000  0.5000  0.5000  2 Zn 2.47
Nb  0.5000  0.0000  0.5000  2 Zn 2.47
Zn  0.5000  0.5000  0.5000  2 N 1.76
N  0.5000  0.5000  0.0000  2 Zn 1.76

Most favorable structure: <P>. The second most favorable one is 1.673 eV/atom above it.

<P>
ZrTa2NbN: relaxed, PBE.

Results
Its crystal system is tetragonal.

abc: 4.2351 4.2351 4.6517
angles: 90.00 90.00 90.00
Closest atoms and distances in Å follow each position.
Atoms (fractional coordinates):
Zr  0.0000  0.0000  0.0000  2 N 2.33
Ta  0.0000  0.5000  0.5000  2 N 2.12
Ta  0.5000  0.0000  0.5000  2 N 2.12
Nb  0.5000  0.5000  0.0000  4 Zr 2.99, 8 Ta 3.15
N  0.0000  0.0000  0.5000  4 Ta 2.12, 2 Zr 2.33

<Q>
ZrTa2NbN: relaxed, PBE.

Results
Its crystal system is tetragonal.

abc: 4.3197 4.3197 4.4282
angles: 90.00 90.00 90.00
Closest atoms and distances in Å follow each position.
Atoms (fractional coordinates):
Zr  0.0000  0.0000  0.0000  4 Nb 3.05, 8 Ta 3.09
Ta  0.0000  0.5000  0.5000  2 N 2.16
Ta  0.5000  0.0000  0.5000  2 N 2.16
Nb  0.5000  0.5000  0.0000  2 N 2.21
N  0.5000  0.5000  0.5000  4 Ta 2.16, 2 Nb 2.21

Most favorable structure: <P>. The second most favorable one is 0.032 eV/atom above it.

<P>
Nb3TcN: relaxed, PBE.

Results
Its crystal system is cubic.

abc: 4.2483 4.2483 4.2483
angles: 90.00 90.00 90.00
Closest atoms and distances in Å follow each position.
Atoms (fractional coordinates):
Nb  0.0000  0.0000  0.5000  2 N 2.12
Nb  0.0000  0.5000  0.0000  2 N 2.12
Nb  0.5000  0.0000  0.0000  2 N 2.12
Tc  0.5000  0.5000  0.5000  12 Nb 3.00
N  0.0000  0.0000  0.0000  6 Nb 2.12

<Q>
Nb3TcN: relaxed, PBE.

Results
Its crystal system is cubic.

abc: 4.7749 4.7749 4.7749
angles: 90.00 90.00 90.00
Closest atoms and distances in Å follow each position.
Atoms (fractional coordinates):
Nb  0.0000  0.0000  0.5000  2 Tc 2.39
Nb  0.0000  0.5000  0.0000  2 Tc 2.39
Nb  0.5000  0.0000  0.0000  2 Tc 2.39
Tc  0.0000  0.0000  0.0000  6 Nb 2.39
N  0.5000  0.5000  0.5000  12 Nb 3.38

Most favorable structure: <P>. The second most favorable one is 2.423 eV/atom above it.